[1]
The following is a PBEsol calculation of a geometry-optimized CuOs3 structure, from the Alexandria database.

- ΔE to the lowest computed polymorph (eV per atom) = 0.000
- E_form (eV per formula unit) = 1.343
- total magnetic moment (μB per formula unit) = 0.0
- E (eV per atom) = -9.91
- volume (Å³/f.u.) = 54

a = 8.9122 Å, b = 2.6907 Å, c = 4.5837 Å
α = 90.00°, β = 99.56°, γ = 90.00°
Last column: nearest neighbours and their distance in Å.
Space group C2/m (No. 12)
Symmetry-distinct sites (fractional):
Cu: 0.0000 0.0000 0.0000 x2  10 Os 2.62-2.73, 2 Cu 2.69
Os: 0.0000 0.5000 0.5000 x2  8 Os 2.65-2.72, 4 Cu 2.66
Os: 0.2436 0.0000 0.7496 x4  3 Cu 2.62-2.73, 9 Os 2.65-2.72

***

[2]
The following is a PBEsol calculation of a geometry-optimized Cu3Os structure, from the Alexandria database.

- ΔE to the lowest computed polymorph (eV per atom) = 0.088
- E_form (eV per formula unit) = 1.171
- total magnetic moment (μB per formula unit) = 0.0
- E (eV per atom) = -6.01
- volume (Å³/f.u.) = 50

a = 2.7221 Å, b = 4.2921 Å, c = 8.4909 Å
α = 90.00°, β = 90.00°, γ = 90.00°
Last column: nearest neighbours and their distance in Å.
Space group Cmmm (No. 65)
Symmetry-distinct sites (fractional):
Cu: 0.0000 0.0000 0.0000 x2  10 Cu 2.45-2.72
Cu: 0.0000 0.5000 0.2393 x4  8 Cu 2.45-2.72, 2 Os 2.60
Os: 0.0000 0.0000 0.5000 x2  6 Os 2.54-2.72, 4 Cu 2.60

***

[3]
The following is a PBEsol calculation of a geometry-optimized Cu3Os structure, from the Alexandria database.

- ΔE to the lowest computed polymorph (eV per atom) = 0.068
- E_form (eV per formula unit) = 1.092
- total magnetic moment (μB per formula unit) = 0.0
- E (eV per atom) = -6.03
- volume (Å³/f.u.) = 49

a = 2.5617 Å, b = 2.5617 Å, c = 7.3976 Å
α = 90.00°, β = 90.00°, γ = 90.00°
Last column: nearest neighbours and their distance in Å.
Space group P4/mmm (No. 123)
Symmetry-distinct sites (fractional):
Cu: 0.0000 0.0000 0.0000 x1  12 Cu 2.53-2.56
Cu: 0.5000 0.5000 0.2390 x2  8 Cu 2.53-2.56, 4 Os 2.65
Os: 0.0000 0.0000 0.5000 x1  4 Os 2.56, 8 Cu 2.65

***

[4]
The following is a PBEsol calculation of a geometry-optimized Cu3Os structure, from the Alexandria database.

- ΔE to the lowest computed polymorph (eV per atom) = 0.121
- E_form (eV per formula unit) = 1.302
- total magnetic moment (μB per formula unit) = 0.0
- E (eV per atom) = -5.98
- volume (Å³/f.u.) = 49

a = 2.5321 Å, b = 4.4105 Å, c = 8.7281 Å
α = 90.00°, β = 90.00°, γ = 90.00°
Last column: nearest neighbours and their distance in Å.
Space group Immm (No. 71)
Symmetry-distinct sites (fractional):
Cu: 0.0000 0.0000 0.0000 x2  6 Cu 2.45-2.53, 4 Os 2.54
Cu: 0.0000 0.5000 0.2591 x4  8 Cu 2.45-2.55, 2 Os 2.59
Os: 0.0000 0.0000 0.5000 x2  2 Os 2.53, 8 Cu 2.54-2.59

***

[5]
The following is a PBEsol calculation of a geometry-optimized CuOs structure, from the Alexandria database.

- ΔE to the lowest computed polymorph (eV per atom) = 0.317
- E_form (eV per formula unit) = 1.087
- total magnetic moment (μB per formula unit) = 0.0
- E (eV per atom) = -7.73
- volume (Å³/f.u.) = 27

a = 2.5808 Å, b = 9.8657 Å, c = 4.2079 Å
α = 90.00°, β = 90.00°, γ = 90.00°
Last column: nearest neighbours and their distance in Å.
Space group Cmcm (No. 63)
Symmetry-distinct sites (fractional):
Cu: 0.0000 0.1797 0.2500 x4  7 Os 2.53-2.73, 6 Cu 2.58-2.83
Os: 0.0000 0.4362 0.2500 x4  4 Os 2.45-2.58, 7 Cu 2.53-2.73

***

[6]
The following is a PBEsol calculation of a geometry-optimized CuOs3 structure, from the Alexandria database.

- ΔE to the lowest computed polymorph (eV per atom) = 0.178
- E_form (eV per formula unit) = 2.057
- total magnetic moment (μB per formula unit) = 0.0
- E (eV per atom) = -9.73
- volume (Å³/f.u.) = 54

a = 2.8263 Å, b = 4.3491 Å, c = 8.7366 Å
α = 90.00°, β = 90.00°, γ = 90.00°
Last column: nearest neighbours and their distance in Å.
Space group Immm (No. 71)
Symmetry-distinct sites (fractional):
Cu: 0.0000 0.0000 0.0000 x2  8 Os 2.48-2.59
Os: 0.0000 0.0000 0.5000 x2  4 Cu 2.59, 6 Os 2.72-2.83
Os: 0.0000 0.5000 0.2663 x4  2 Cu 2.48, 6 Os 2.61-2.72

***

[7]
The following is a PBEsol calculation of a geometry-optimized CuOs structure, from the Alexandria database.

- ΔE to the lowest computed polymorph (eV per atom) = 0.143
- E_form (eV per formula unit) = 0.740
- total magnetic moment (μB per formula unit) = 0.0
- E (eV per atom) = -7.90
- volume (Å³/f.u.) = 26

a = 2.6457 Å, b = 2.6457 Å, c = 12.7981 Å
α = 90.00°, β = 90.00°, γ = 120.00°
Last column: nearest neighbours and their distance in Å.
Space group R-3m (No. 166, hexagonal axes)
Symmetry-distinct sites (fractional):
Cu: 0.0000 0.0000 0.0000 x3  6 Os 2.62, 6 Cu 2.65
Os: 0.0000 0.0000 0.5000 x3  6 Cu 2.62, 6 Os 2.65

***

[8]
The following is a PBEsol calculation of a geometry-optimized Cu3Os structure, from the Alexandria database.

- ΔE to the lowest computed polymorph (eV per atom) = 0.000
- E_form (eV per formula unit) = 0.818
- total magnetic moment (μB per formula unit) = 0.0
- E (eV per atom) = -6.10
- volume (Å³/f.u.) = 49

a = 2.6053 Å, b = 2.6053 Å, c = 25.0272 Å
α = 90.00°, β = 90.00°, γ = 120.00°
Last column: nearest neighbours and their distance in Å.
Space group R-3m (No. 166, hexagonal axes)
Symmetry-distinct sites (fractional):
Cu: 0.0000 0.0000 0.0000 x3  12 Cu 2.51-2.61
Cu: 0.0000 0.0000 0.2529 x6  9 Cu 2.51-2.61, 3 Os 2.63
Os: 0.0000 0.0000 0.5000 x3  6 Os 2.61, 6 Cu 2.63

***

[9]
The following is a PBEsol calculation of a geometry-optimized CuOs structure, from the Alexandria database.

- ΔE to the lowest computed polymorph (eV per atom) = 0.000
- E_form (eV per formula unit) = 0.454
- total magnetic moment (μB per formula unit) = 0.0
- E (eV per atom) = -8.05
- volume (Å³/f.u.) = 26

a = 2.7220 Å, b = 2.7220 Å, c = 6.9074 Å
α = 90.00°, β = 90.00°, γ = 90.00°
Last column: nearest neighbours and their distance in Å.
Space group P4/nmm (No. 129, origin choice 2)
Symmetry-distinct sites (fractional):
Cu: 0.2500 0.2500 0.1113 x2  8 Cu 2.46-2.72, 4 Os 2.65
Os: 0.2500 0.2500 0.6259 x2  8 Os 2.59-2.72, 4 Cu 2.65

***

[10]
The following is a PBEsol calculation of a geometry-optimized CuPOs structure, from the Alexandria database.

- ΔE to the lowest computed polymorph (eV per atom) = 0.220
- E_form (eV per formula unit) = 1.307
- total magnetic moment (μB per formula unit) = 0.0
- E (eV per atom) = -7.01
- volume (Å³/f.u.) = 40

a = 2.8261 Å, b = 4.6851 Å, c = 12.1303 Å
α = 90.00°, β = 90.00°, γ = 90.00°
Last column: nearest neighbours and their distance in Å.
Space group Fmm2 (No. 42)
Symmetry-distinct sites (fractional):
Cu: 0.0000 0.0000 0.0000 x4  2 P 2.45, 2 Os 2.63, 4 Cu 2.74
P: 0.0000 0.0000 0.6648 x4  2 Os 2.33, 2 Cu 2.45
Os: 0.0000 0.0000 0.3171 x4  2 P 2.33

***

[11]
The following is a PBEsol calculation of a geometry-optimized CuP2Os structure, from the Alexandria database.

- ΔE to the lowest computed polymorph (eV per atom) = 0.257
- E_form (eV per formula unit) = 0.712
- total magnetic moment (μB per formula unit) = 0.0
- E (eV per atom) = -6.86
- volume (Å³/f.u.) = 56

a = 3.0663 Å, b = 3.9197 Å, c = 4.6323 Å
α = 90.00°, β = 90.15°, γ = 90.00°
Last column: nearest neighbours and their distance in Å.
Space group P2/m (No. 10)
Symmetry-distinct sites (fractional):
Cu: 0.0000 0.0000 0.0000 x1  8 P 2.70-2.71, 4 Os 2.77-2.78
P: 0.4986 0.5000 0.2275 x2  1 P 2.11, 2 Os 2.33
Os: 0.5000 0.0000 0.5000 x1  4 P 2.33

***

[12]
The following is a PBEsol calculation of a geometry-optimized CuPOs2 structure, from the Alexandria database.

- E_form (eV per formula unit) = 0.935
- total magnetic moment (μB per formula unit) = 0.0
- E (eV per atom) = -8.41
- volume (Å³/f.u.) = 51

a = 8.6830 Å, b = 2.8860 Å, c = 4.3003 Å
α = 90.00°, β = 107.62°, γ = 90.00°
Last column: nearest neighbours and their distance in Å.
Space group Cm (No. 8)
Symmetry-distinct sites (fractional):
Cu: 0.0000 0.0000 0.0000 x2  7 Os 2.41-2.60, 2 P 2.64
P: 0.2480 0.0000 0.6749 x2  5 Os 2.40-2.52, 2 Cu 2.64
Os: 0.2459 0.5000 0.1197 x2  2 P 2.40, 3 Cu 2.41-2.50
Os: 0.4985 0.0000 0.5020 x2  3 P 2.50-2.52, 4 Cu 2.58-2.60, 2 Os 2.72